Entry from the Alexandria database: LiEu4B3N6 at its PBEsol-relaxed geometry (SCAN).

Output
The space group is Im-3m (229). Its uncorrected formation energy is -1.310 eV per atom.

Cell: 6.2480 6.2480 6.2480 Å, 109.47 109.47 109.47°
Last column: nearest neighbours and their distance in Å.
Atoms (fractional coordinates):
Li1 0.0000 0.0000 0.0000  6 N 2.25
Eu1 0.0000 0.0000 0.5000  6 N 2.59
Eu2 0.0000 0.5000 0.0000  6 N 2.59
Eu3 0.5000 0.0000 0.0000  6 N 2.59
Eu4 0.5000 0.5000 0.5000  6 N 2.59
B1 0.0000 0.5000 0.5000  2 N 1.35
B2 0.5000 0.0000 0.5000  2 N 1.35
B3 0.5000 0.5000 0.0000  2 N 1.35
N1 0.0000 0.3125 0.3125  1 B 1.35
N2 0.0000 0.6875 0.6875  1 B 1.35
N3 0.3125 0.0000 0.3125  1 B 1.35
N4 0.3125 0.3125 0.0000  1 B 1.35
N5 0.6875 0.0000 0.6875  1 B 1.35
N6 0.6875 0.6875 0.0000  1 B 1.35

---

Entry from the Alexandria database: TlSi2As at its PBEsol-relaxed geometry (SCAN).

Output
The space group is C2/m (12). Its uncorrected formation energy is 0.495 eV per atom. The energy relative to the lowest polymorph listed for this composition is 0 meV/atom.

Cell: 4.7381 4.7381 5.9070 Å, 110.22 110.22 43.67°
Last column: nearest neighbours and their distance in Å.
Atoms (fractional coordinates):
Tl1 0.0000 0.0000 0.0000  4 Si 3.04
Si1 0.2360 0.2360 0.6462  2 Si 2.54, 3 As 2.61-2.76
Si2 0.7640 0.7640 0.3538  2 Si 2.54, 3 As 2.61-2.76
As1 0.5000 0.5000 0.5000  6 Si 2.61-2.76

---

Entry from the Alexandria database: La2Te2I at its PBEsol-relaxed geometry (SCAN).

Output
The space group is P4/mbm (127). Its uncorrected formation energy is -1.735 eV per atom.

Cell: 8.7129 8.7129 4.1618 Å, 90.00 90.00 90.00°
Last column: nearest neighbours and their distance in Å.
Atoms (fractional coordinates):
La1 0.1537 0.3463 0.0000  6 Te 3.27-3.31, 2 I 3.30
La2 0.3463 0.8463 0.0000  6 Te 3.27-3.31, 2 I 3.30
La3 0.6537 0.1537 0.0000  6 Te 3.27-3.31, 2 I 3.30
La4 0.8463 0.6537 0.0000  6 Te 3.27-3.31, 2 I 3.30
Te1 0.1414 0.6414 0.5000  6 La 3.27-3.31, 1 Te 3.49
Te2 0.3586 0.1414 0.5000  6 La 3.27-3.31, 1 Te 3.49
Te3 0.6414 0.8586 0.5000  6 La 3.27-3.31, 1 Te 3.49
Te4 0.8586 0.3586 0.5000  6 La 3.27-3.31, 1 Te 3.49
I1 0.0000 0.0000 0.0000  4 La 3.30
I2 0.5000 0.5000 0.0000  4 La 3.30

---

Entry from the Alexandria database: CrF3 at its PBEsol-relaxed geometry (SCAN).

Output
The space group is R-3c (167). Its uncorrected formation energy is -3.129 eV per atom.

Cell: 5.2332 5.2332 5.2332 Å, 55.73 55.73 55.73°
Last column: nearest neighbours and their distance in Å.
Atoms (fractional coordinates):
Cr1 0.0000 0.0000 0.0000  6 F 1.91
Cr2 0.5000 0.5000 0.5000  6 F 1.91
F1 0.1164 0.7500 0.3836  2 Cr 1.91
F2 0.2500 0.6164 0.8836  2 Cr 1.91
F3 0.3836 0.1164 0.7500  2 Cr 1.91
F4 0.6164 0.8836 0.2500  2 Cr 1.91
F5 0.7500 0.3836 0.1164  2 Cr 1.91
F6 0.8836 0.2500 0.6164  2 Cr 1.91

---

Entry from the Alexandria database: Na2TiSiO5 at its PBEsol-relaxed geometry (SCAN).

Output
The space group is P4/nmm (129). Its uncorrected formation energy is -2.866 eV per atom.

Cell: 6.4727 6.4727 5.1110 Å, 90.00 90.00 90.00°
Last column: nearest neighbours and their distance in Å.
Atoms (fractional coordinates):
Na1 0.0000 0.0000 0.0000  6 O 2.30-2.57
Na2 0.0000 0.5000 0.0000  6 O 2.30-2.57
Na3 0.5000 0.0000 0.0000  6 O 2.30-2.57
Na4 0.5000 0.5000 0.0000  6 O 2.30-2.57
Ti1 0.2500 0.2500 0.4355  1 O 1.71
Ti2 0.7500 0.7500 0.5645  1 O 1.71
Si1 0.2500 0.7500 0.5000  4 O 1.64
Si2 0.7500 0.2500 0.5000  4 O 1.64
O1 0.0418 0.7500 0.6837  1 Si 1.64
O2 0.2500 0.2500 0.7710  1 Ti 1.71
O3 0.2500 0.5418 0.3163  1 Si 1.64
O4 0.2500 0.9582 0.3163  1 Si 1.64
O5 0.4582 0.7500 0.6837  1 Si 1.64
O6 0.5418 0.2500 0.3163  1 Si 1.64
O7 0.7500 0.0418 0.6837  1 Si 1.64
O8 0.7500 0.4582 0.6837  1 Si 1.64
O9 0.7500 0.7500 0.2290  1 Ti 1.71
O10 0.9582 0.2500 0.3163  1 Si 1.64

---

Entry from the Alexandria database: SrAu3N at its PBEsol-relaxed geometry (SCAN).

Output
The space group is Pm-3m (221). Its uncorrected formation energy is 1.535 eV per atom.

Cell: 5.8195 5.8195 5.8195 Å, 90.00 90.00 90.00°
Last column: nearest neighbours and their distance in Å.
Atoms (fractional coordinates):
Sr1 0.0000 0.0000 0.0000  6 Au 2.91
Au1 0.0000 0.0000 0.5000  2 Sr 2.91
Au2 0.0000 0.5000 0.0000  2 Sr 2.91
Au3 0.5000 0.0000 0.0000  2 Sr 2.91
N1 0.5000 0.5000 0.5000  12 Au 4.12

---

Entry from the Alexandria database: TaSiGeRu2 at its PBEsol-relaxed geometry (SCAN).

Output
The space group is P4/mmm (123). Its uncorrected formation energy is 1.621 eV per atom.

Cell: 4.6437 4.6437 4.8661 Å, 90.00 90.00 90.00°
Last column: nearest neighbours and their distance in Å.
Atoms (fractional coordinates):
Ta1 0.0000 0.0000 0.0000  4 Ru 2.32, 2 Ge 2.43
Si1 0.5000 0.5000 0.5000  4 Ge 3.28, 8 Ru 3.36
Ge1 0.0000 0.0000 0.5000  2 Ta 2.43
Ru1 0.0000 0.5000 0.0000  2 Ta 2.32
Ru2 0.5000 0.0000 0.0000  2 Ta 2.32

---

Entry from the Alexandria database: CoHg2Se at its PBEsol-relaxed geometry (SCAN).

Output
The space group is I-4m2 (119). Its uncorrected formation energy is 0.545 eV per atom.

Cell: 5.1349 5.1349 5.1349 Å, 132.38 132.38 69.64°
Last column: nearest neighbours and their distance in Å.
Atoms (fractional coordinates):
Co1 0.0000 0.0000 0.0000  8 Hg 2.93-2.96, 4 Se 2.96
Hg1 0.5000 0.5000 0.0000  4 Co 2.93, 4 Hg 2.96, 4 Se 2.96
Hg2 0.7500 0.2500 0.5000  4 Se 2.93, 4 Hg 2.96, 4 Co 2.96
Se1 0.2500 0.7500 0.5000  8 Hg 2.93-2.96, 4 Co 2.96

---

Entry from the Alexandria database: ReIrCl at its PBEsol-relaxed geometry (SCAN).

Output
The space group is I4mm (107). Its uncorrected formation energy is 0.501 eV per atom.

Cell: 6.2892 6.2892 6.2892 Å, 154.03 154.03 37.06°
Last column: nearest neighbours and their distance in Å.
Atoms (fractional coordinates):
Re1 0.0000 0.0000 0.0000  4 Ir 2.58, 4 Cl 2.63, 4 Re 2.83
Ir1 0.3630 0.3630 0.0000  4 Re 2.58, 4 Ir 2.83
Cl1 0.6428 0.6428 0.0000  4 Re 2.63, 4 Cl 2.83

---

Entry from the Alexandria database: SrZnW at its PBEsol-relaxed geometry (SCAN).

Output
The formation enthalpy at 0 K comes out at 0.794 eV per atom. The space group is I4mm (107).

Cell: 7.3863 7.3863 7.3863 Å, 157.71 157.71 31.72°
Last column: nearest neighbours and their distance in Å.
Atoms (fractional coordinates):
Sr1 0.0000 0.0000 0.0000  4 Sr 2.86
Zn1 0.3198 0.3198 0.0000  4 W 2.76, 4 Zn 2.86
W1 0.6872 0.6872 0.0000  4 Zn 2.76, 4 W 2.86

---

Entry from the Alexandria database: Tm2TiO5 at its PBEsol-relaxed geometry (SCAN).

Output
The space group is C2/c (15). Its uncorrected formation energy is -3.737 eV per atom. The energy relative to the lowest polymorph listed for this composition is 53 meV/atom.

Cell: 6.3007 6.3007 7.3741 Å, 111.93 111.93 48.52°
Last column: nearest neighbours and their distance in Å.
Atoms (fractional coordinates):
Tm1 0.1274 0.1504 0.2558  5 O 2.13-2.29
Tm2 0.1504 0.1274 0.7558  5 O 2.13-2.29
Tm3 0.8496 0.8726 0.2442  5 O 2.13-2.29
Tm4 0.8726 0.8496 0.7442  5 O 2.13-2.29
Ti1 0.5000 0.5000 0.0000  6 O 1.94-2.04
Ti2 0.5000 0.5000 0.5000  6 O 1.94-2.04
O1 0.1074 0.7481 0.0426  1 Ti 1.94
O2 0.1804 0.4791 0.3583  1 Ti 1.96, 2 Tm 2.13-2.15
O3 0.2519 0.8926 0.4574  1 Ti 1.94
O4 0.3311 0.6689 0.7500  2 Ti 2.04
O5 0.4791 0.1804 0.8583  1 Ti 1.96, 2 Tm 2.13-2.15
O6 0.5209 0.8196 0.1417  1 Ti 1.96, 2 Tm 2.13-2.15
O7 0.6689 0.3311 0.2500  2 Ti 2.04
O8 0.7481 0.1074 0.5426  1 Ti 1.94
O9 0.8196 0.5209 0.6417  1 Ti 1.96, 2 Tm 2.13-2.15
O10 0.8926 0.2519 0.9574  1 Ti 1.94

---

Entry from the Alexandria database: GaRuNO2 at its PBEsol-relaxed geometry (SCAN).

Output
The space group is P4/mmm (123). Its uncorrected formation energy is 0.309 eV per atom.

Cell: 3.6941 3.6941 3.9311 Å, 90.00 90.00 90.00°
Last column: nearest neighbours and their distance in Å.
Atoms (fractional coordinates):
Ga1 0.0000 0.0000 0.0000  4 O 1.85, 2 N 1.97
Ru1 0.5000 0.5000 0.5000  4 N 2.61, 8 O 2.70
N1 0.0000 0.0000 0.5000  2 Ga 1.97
O1 0.0000 0.5000 0.0000  2 Ga 1.85
O2 0.5000 0.0000 0.0000  2 Ga 1.85

---

Entry from the Alexandria database: Cr2FeH2 at its PBEsol-relaxed geometry (SCAN).

Output
The space group is I4/mmm (139). The total energy is -12.203 eV per atom.

Cell: 5.7674 5.7674 5.7674 Å, 153.87 153.87 37.29°
Last column: nearest neighbours and their distance in Å.
Atoms (fractional coordinates):
Cr1 0.1445 0.1445 0.0000  4 H 1.74
Cr2 0.8555 0.8555 0.0000  4 H 1.74
Fe1 0.5000 0.5000 0.0000  8 Cr 2.43, 4 Fe 2.61
H1 0.2500 0.7500 0.5000  4 Cr 1.74, 4 H 1.84
H2 0.7500 0.2500 0.5000  4 Cr 1.74, 4 H 1.84

---

Entry from the Alexandria database: Ce2Si6Pd21 at its PBEsol-relaxed geometry (SCAN).

Output
The space group is Fm-3m (225). Its uncorrected formation energy is -0.776 eV per atom.

Cell: 8.5383 8.5383 8.5383 Å, 60.00 60.00 60.00°
Last column: nearest neighbours and their distance in Å.
Atoms (fractional coordinates):
Ce1 0.2500 0.2500 0.2500  4 Pd 2.79
Ce2 0.7500 0.7500 0.7500  4 Pd 2.79
Si1 0.2367 0.2367 0.7633  8 Pd 2.36-2.46
Si2 0.2367 0.7633 0.2367  8 Pd 2.36-2.46
Si3 0.2367 0.7633 0.7633  8 Pd 2.36-2.46
Si4 0.7633 0.2367 0.2367  8 Pd 2.36-2.46
Si5 0.7633 0.2367 0.7633  8 Pd 2.36-2.46
Si6 0.7633 0.7633 0.2367  8 Pd 2.36-2.46
Pd1 0.1166 0.1166 0.1166  3 Si 2.46
Pd2 0.1166 0.1166 0.6503  3 Si 2.46
Pd3 0.1166 0.6503 0.1166  3 Si 2.46
Pd4 0.1541 0.5000 0.5000  2 Si 2.36, 1 Pd 2.63
Pd5 0.1541 0.5000 0.8459  2 Si 2.36, 1 Pd 2.63
Pd6 0.1541 0.8459 0.5000  2 Si 2.36, 1 Pd 2.63
Pd7 0.3497 0.8834 0.8834  3 Si 2.46
Pd8 0.5000 0.1541 0.5000  2 Si 2.36, 1 Pd 2.63
Pd9 0.5000 0.1541 0.8459  2 Si 2.36, 1 Pd 2.63
Pd10 0.5000 0.5000 0.1541  2 Si 2.36, 1 Pd 2.63
Pd11 0.5000 0.5000 0.5000  12 Pd 2.95, 6 Si 3.18
Pd12 0.5000 0.5000 0.8459  2 Si 2.36, 1 Pd 2.63
Pd13 0.5000 0.8459 0.1541  2 Si 2.36, 1 Pd 2.63
Pd14 0.5000 0.8459 0.5000  2 Si 2.36, 1 Pd 2.63
Pd15 0.6503 0.1166 0.1166  3 Si 2.46
Pd16 0.8459 0.1541 0.5000  2 Si 2.36, 1 Pd 2.63
Pd17 0.8459 0.5000 0.1541  2 Si 2.36, 1 Pd 2.63
Pd18 0.8459 0.5000 0.5000  2 Si 2.36, 1 Pd 2.63
Pd19 0.8834 0.3497 0.8834  3 Si 2.46
Pd20 0.8834 0.8834 0.3497  3 Si 2.46
Pd21 0.8834 0.8834 0.8834  3 Si 2.46

---

Entry from the Alexandria database: BaCr2Ag at its PBEsol-relaxed geometry (SCAN).

Output
The formation enthalpy at 0 K comes out at 0.618 eV per atom. The space group is I4/mmm (139). The energy relative to the lowest polymorph listed for this composition is 252 meV/atom.

Cell: 5.4350 5.4350 5.4350 Å, 129.40 129.40 74.37°
Last column: nearest neighbours and their distance in Å.
Atoms (fractional coordinates):
Ba1 0.0000 0.0000 0.0000  8 Cr 3.18, 4 Ag 3.28
Cr1 0.2500 0.7500 0.5000  4 Ba 3.18, 4 Ag 3.18, 4 Cr 3.28
Cr2 0.7500 0.2500 0.5000  4 Ba 3.18, 4 Ag 3.18, 4 Cr 3.28
Ag1 0.5000 0.5000 0.0000  8 Cr 3.18, 4 Ba 3.28

---

Entry from the Alexandria database: Co2NiO4 at its PBEsol-relaxed geometry (SCAN).

Output
The space group is Fd-3m (227). Its uncorrected formation energy is -1.434 eV per atom. The energy relative to the lowest polymorph listed for this composition is 0 meV/atom.

Cell: 5.6299 5.6299 5.6299 Å, 60.00 60.00 60.00°
Last column: nearest neighbours and their distance in Å.
Atoms (fractional coordinates):
Co1 0.0000 0.0000 0.0000  6 O 1.89
Co2 0.0000 0.0000 0.5000  6 O 1.89
Co3 0.0000 0.5000 0.0000  6 O 1.89
Co4 0.5000 0.0000 0.0000  6 O 1.89
Ni1 0.3750 0.3750 0.3750  4 O 1.90
Ni2 0.6250 0.6250 0.6250  4 O 1.90
O1 0.2120 0.7627 0.7627  3 Co 1.89, 1 Ni 1.90
O2 0.2373 0.2373 0.2373  3 Co 1.89, 1 Ni 1.90
O3 0.2373 0.2373 0.7880  3 Co 1.89, 1 Ni 1.90
O4 0.2373 0.7880 0.2373  3 Co 1.89, 1 Ni 1.90
O5 0.7627 0.2120 0.7627  3 Co 1.89, 1 Ni 1.90
O6 0.7627 0.7627 0.2120  3 Co 1.89, 1 Ni 1.90
O7 0.7627 0.7627 0.7627  3 Co 1.89, 1 Ni 1.90
O8 0.7880 0.2373 0.2373  3 Co 1.89, 1 Ni 1.90

---

Entry from the Alexandria database: NaCuAsO4 at its PBEsol-relaxed geometry (SCAN).

Output
The space group is P2_1/c (14). Its uncorrected formation energy is -1.424 eV per atom.

Cell: 6.0037 10.8212 10.3960 Å, 90.00 91.32 90.00°
Last column: nearest neighbours and their distance in Å.
Atoms (fractional coordinates):
Na1 0.1278 0.1504 0.3844  6 O 2.31-2.49
Na2 0.1278 0.3496 0.8844  6 O 2.31-2.49
Na3 0.3705 0.6299 0.1184  6 O 2.37-2.60
Na4 0.3705 0.8701 0.6184  6 O 2.37-2.60
Na5 0.6295 0.1299 0.3816  6 O 2.37-2.60
Na6 0.6295 0.3701 0.8816  6 O 2.37-2.60
Na7 0.8722 0.6504 0.1156  6 O 2.31-2.49
Na8 0.8722 0.8496 0.6156  6 O 2.31-2.49
Cu1 0.1579 0.6189 0.5122  4 O 1.90-2.05
Cu2 0.1579 0.8811 0.0122  4 O 1.90-2.05
Cu3 0.3545 0.1018 0.7834  4 O 1.92-2.05
Cu4 0.3545 0.3982 0.2834  4 O 1.92-2.05
Cu5 0.6455 0.6018 0.7166  4 O 1.92-2.05
Cu6 0.6455 0.8982 0.2166  4 O 1.92-2.05
Cu7 0.8421 0.1189 0.9878  4 O 1.90-2.05
Cu8 0.8421 0.3811 0.4878  4 O 1.90-2.05
As1 0.1276 0.6202 0.8220  4 O 1.71-1.73
As2 0.1276 0.8798 0.3220  4 O 1.71-1.73
As3 0.3756 0.1337 0.0932  4 O 1.70-1.75
As4 0.3756 0.3663 0.5932  4 O 1.70-1.75
As5 0.6244 0.6337 0.4068  4 O 1.70-1.75
As6 0.6244 0.8663 0.9068  4 O 1.70-1.75
As7 0.8724 0.1202 0.6780  4 O 1.71-1.73
As8 0.8724 0.3798 0.1780  4 O 1.71-1.73
O1 0.1113 0.0315 0.6676  1 As 1.73
O2 0.1113 0.4685 0.1676  1 As 1.73
O3 0.1163 0.7156 0.9542  1 As 1.72, 1 Cu 1.90
O4 0.1163 0.7844 0.4542  1 As 1.72, 1 Cu 1.90
O5 0.1296 0.7032 0.6816  1 As 1.71
O6 0.1296 0.7968 0.1816  1 As 1.71
O7 0.1436 0.0403 0.0916  1 As 1.72, 1 Cu 1.91
O8 0.1436 0.4597 0.5916  1 As 1.72, 1 Cu 1.91
O9 0.3498 0.2318 0.2192  1 As 1.70
O10 0.3498 0.2682 0.7192  1 As 1.70
O11 0.3593 0.5301 0.8429  1 As 1.71
O12 0.3593 0.9699 0.3429  1 As 1.71
O13 0.3744 0.5537 0.3779  1 As 1.75, 1 Cu 1.95
O14 0.3744 0.9463 0.8779  1 As 1.75, 1 Cu 1.95
O15 0.4035 0.2037 0.9473  1 As 1.71
O16 0.4035 0.2963 0.4473  1 As 1.71
O17 0.5965 0.7037 0.5527  1 As 1.71
O18 0.5965 0.7963 0.0527  1 As 1.71
O19 0.6256 0.0537 0.1221  1 As 1.75, 1 Cu 1.95
O20 0.6256 0.4463 0.6221  1 As 1.75, 1 Cu 1.95
O21 0.6407 0.0301 0.6571  1 As 1.71
O22 0.6407 0.4699 0.1571  1 As 1.71
O23 0.6502 0.7318 0.2808  1 As 1.70
O24 0.6502 0.7682 0.7808  1 As 1.70
O25 0.8564 0.5403 0.4084  1 As 1.72, 1 Cu 1.91
O26 0.8564 0.9597 0.9084  1 As 1.72, 1 Cu 1.91
O27 0.8704 0.2032 0.8184  1 As 1.71
O28 0.8704 0.2968 0.3184  1 As 1.71
O29 0.8837 0.2156 0.5458  1 As 1.72, 1 Cu 1.90
O30 0.8837 0.2844 0.0458  1 As 1.72, 1 Cu 1.90
O31 0.8887 0.5315 0.8324  1 As 1.73
O32 0.8887 0.9685 0.3324  1 As 1.73

---

Entry from the Alexandria database: RhCl4 at its PBEsol-relaxed geometry (SCAN).

Output
The space group is Im-3m (229). Its uncorrected formation energy is 0.192 eV per atom.

Cell: 5.0514 5.0514 5.0514 Å, 109.47 109.47 109.47°
Last column: nearest neighbours and their distance in Å.
Atoms (fractional coordinates):
Rh1 0.0000 0.0000 0.0000  8 Cl 2.53
Cl1 0.0000 0.0000 0.5000  2 Rh 2.53
Cl2 0.0000 0.5000 0.0000  2 Rh 2.53
Cl3 0.5000 0.0000 0.0000  2 Rh 2.53
Cl4 0.5000 0.5000 0.5000  2 Rh 2.53

---

Entry from the Alexandria database: CoMoCl2 at its PBEsol-relaxed geometry (SCAN).

Output
The space group is P4/mmm (123). Its uncorrected formation energy is 0.746 eV per atom. The energy relative to the lowest polymorph listed for this composition is 505 meV/atom.

Cell: 4.2540 4.2540 2.9916 Å, 90.00 90.00 90.00°
Last column: nearest neighbours and their distance in Å.
Atoms (fractional coordinates):
Co1 0.0000 0.0000 0.0000  8 Cl 2.60
Mo1 0.5000 0.5000 0.0000  8 Cl 2.60
Cl1 0.0000 0.5000 0.5000  4 Mo 2.60, 4 Co 2.60
Cl2 0.5000 0.0000 0.5000  4 Mo 2.60, 4 Co 2.60